No. 1
Compound: BaV8O21
Source: Alexandria
Functional: GGA-PBEsol
Structure: relaxed

Cell lengths 7.1165, 7.7041, 14.8129 Å; angles 89.02, 89.88, 76.79 degrees
Closest atoms and distances in Å follow each position.
Sites, in units of the cell vectors:
Ba (0.7358, 0.0543, 0.6891)  9 O 2.75-2.90
Ba (0.2642, 0.9457, 0.3109)  9 O 2.75-2.90
V (0.4554, 0.1810, 0.0758)  2 O 1.62-1.78
V (0.9553, 0.1809, 0.0760)  2 O 1.62-1.78
V (0.4170, 0.3361, 0.4786)  2 O 1.61-1.74
V (0.9115, 0.3399, 0.4760)  2 O 1.61-1.74
V (0.1571, 0.3756, 0.9285)  1 O 1.58
V (0.6565, 0.3777, 0.9287)  2 O 1.60-1.78
V (0.4302, 0.3777, 0.2708)  2 O 1.61-1.70
V (0.9313, 0.3785, 0.2695)  2 O 1.59-1.74
V (0.0687, 0.6215, 0.7305)  2 O 1.59-1.74
V (0.5698, 0.6223, 0.7292)  2 O 1.61-1.70
V (0.3435, 0.6223, 0.0713)  2 O 1.60-1.78
V (0.8429, 0.6244, 0.0715)  1 O 1.58
V (0.5830, 0.6639, 0.5214)  2 O 1.61-1.74
V (0.0885, 0.6601, 0.5240)  2 O 1.61-1.74
V (0.0447, 0.8191, 0.9240)  2 O 1.62-1.78
V (0.5446, 0.8190, 0.9242)  2 O 1.62-1.78
O (0.0000, 0.0000, 0.0000)  2 V 1.78
O (0.5000, 0.0000, 0.0000)  2 V 1.78
O (0.4754, 0.0883, 0.1752)  1 V 1.62
O (0.9855, 0.0871, 0.1750)  1 V 1.62
O (0.4698, 0.1826, 0.5553)  1 V 1.61
O (0.9313, 0.1901, 0.5546)  1 V 1.61
O (0.1973, 0.2214, 0.8570)  1 V 1.58
O (0.6925, 0.2237, 0.8551)  1 V 1.60
O (0.1915, 0.2345, 0.0488)  3 V 1.86-2.06
O (0.6915, 0.2339, 0.0494)  3 V 1.86-2.07
O (0.9501, 0.2254, 0.3752)  2 V 1.74-1.93
O (0.4364, 0.2275, 0.3756)  2 V 1.74-1.92
O (0.6748, 0.3310, 0.2610)  1 V 1.70
O (0.1803, 0.3131, 0.2571)  1 V 1.74
O (0.4036, 0.3901, 0.9670)  2 V 1.87
O (0.9025, 0.3881, 0.9655)  2 V 1.85-1.87
O (0.6423, 0.4233, 0.4666)  3 V 1.88-1.99
O (0.1476, 0.4127, 0.4777)  3 V 1.87-1.99
O (0.1102, 0.4295, 0.6867)  1 V 1.59
O (0.6320, 0.4248, 0.6882)  1 V 1.61
O (0.3937, 0.4262, 0.1410)  2 V 1.78-1.96
O (0.8930, 0.4255, 0.1406)  2 V 1.79-1.95
O (0.6063, 0.5738, 0.8590)  2 V 1.78-1.96
O (0.1070, 0.5745, 0.8594)  2 V 1.79-1.95
O (0.8898, 0.5705, 0.3133)  1 V 1.59
O (0.3680, 0.5752, 0.3118)  1 V 1.61
O (0.3577, 0.5767, 0.5334)  3 V 1.88-1.99
O (0.8524, 0.5873, 0.5223)  3 V 1.87-1.99
O (0.5964, 0.6099, 0.0330)  2 V 1.87
O (0.0975, 0.6119, 0.0345)  2 V 1.85-1.87
O (0.3252, 0.6690, 0.7390)  1 V 1.70
O (0.8197, 0.6869, 0.7429)  1 V 1.74
O (0.5636, 0.7725, 0.6244)  2 V 1.74-1.92
O (0.0499, 0.7746, 0.6248)  2 V 1.74-1.93
O (0.8085, 0.7655, 0.9512)  3 V 1.86-2.06
O (0.3085, 0.7661, 0.9506)  3 V 1.86-2.07
O (0.8027, 0.7786, 0.1430)  1 V 1.58
O (0.3075, 0.7763, 0.1449)  1 V 1.60
O (0.0687, 0.8099, 0.4454)  1 V 1.61
O (0.5302, 0.8174, 0.4447)  1 V 1.61
O (0.0145, 0.9129, 0.8250)  1 V 1.62
O (0.5246, 0.9117, 0.8248)  1 V 1.62

Properties
Formation energy (no corrections) ... -2.37 eV/atom
Spin magnetization ... 0.0 μB/f.u.
Space group ... P-1, No. 2



No. 2
Compound: Ba4Li3
Source: Alexandria
Functional: GGA-PBEsol
Structure: relaxed

Cell lengths 6.8268, 6.8268, 7.5185 Å; angles 90.00, 90.00, 120.00 degrees
Closest atoms and distances in Å follow each position.
Sites, in units of the cell vectors:
Ba (0.0000, 0.0000, 0.7535)  2 Ba 3.71-3.81, 6 Li 3.88
Ba (0.0000, 0.0000, 0.2465)  2 Ba 3.71-3.81, 6 Li 3.88
Ba (0.3333, 0.6667, 0.5000)  9 Ba 3.94-4.38, 6 Li 4.24
Ba (0.6667, 0.3333, 0.5000)  9 Ba 3.94-4.38, 6 Li 4.24
Li (0.0000, 0.5000, 0.0000)  4 Li 3.41
Li (0.5000, 0.0000, 0.0000)  4 Li 3.41
Li (0.5000, 0.5000, 0.0000)  4 Li 3.41

Properties
Spin magnetization ... 0.0 μB/f.u.
Space group ... P6/mmm, No. 191



no.,total energy (eV/atom)
1,-8.6897
2,-2.0015